Record 1
DFT (PBEsol) results for a relaxed structure of CrNiTe.

Properties
As for the raw formation energy: 273.4 meV/atom. For the energy above the most stable polymorph in this dataset, the calculation gives 0.57 eV/f.u. The space group is No. 156.

a = 3.4961 Å, b = 4.0538 Å, c = 4.0538 Å
α = 120.00°, β = 90.00°, γ = 90.00°
Closest atoms and distances in Å follow each position.
Sites, in units of the cell vectors:
Cr 0.9806 0.0000 0.0000  3 Ni 2.71, 6 Te 2.82-3.03
Te 0.4304 0.6667 0.3333  3 Ni 2.41
Ni 0.5890 0.3333 0.6667  3 Te 2.41



Record 2
DFT (PBEsol) results for a relaxed structure of Y2TiCrNi.

Properties
The calculation puts the formation energy at 3.6 eV/f.u. The space group is No. 123.

a = 4.2154 Å, b = 5.1036 Å, c = 5.1036 Å
α = 90.00°, β = 90.00°, γ = 90.00°
Closest atoms and distances in Å follow each position.
Sites, in units of the cell vectors:
Y 0.0000 0.5000 0.0000  2 Cr 2.55
Ti 0.5000 0.0000 0.0000  2 Cr 2.11
Ni 0.5000 0.5000 0.5000  8 Y 3.31, 4 Ti 3.61
Y 0.0000 0.0000 0.5000  2 Cr 2.55
Cr 0.0000 0.0000 0.0000  2 Ti 2.11



Record 3
DFT (PBEsol) results for a relaxed structure of TlCrNi.

Properties
The calculation puts the formation energy at 1.4 eV/f.u. For the energy above the most stable polymorph in this dataset, the calculation gives 0.00 eV/f.u. The space group is No. 107.

a = 3.2295 Å, b = 3.2295 Å, c = 4.9529 Å
α = 109.03°, β = 109.03°, γ = 90.00°
Closest atoms and distances in Å follow each position.
Sites, in units of the cell vectors:
Cr 0.9830 0.9830 0.9661  4 Ni 2.58, 5 Tl 2.74-2.82
Ni 0.3458 0.3458 0.6916  4 Cr 2.58, 5 Tl 2.75-2.86
Tl 0.6712 0.6712 0.3423  5 Cr 2.74-2.82, 5 Ni 2.75-2.86



Record 4
DFT (PBEsol) results for a relaxed structure of TlCr2Ni.

Properties
The calculation puts the formation energy at 1.5 eV/f.u. For the energy above the most stable polymorph in this dataset, the calculation gives 0.00 eV/f.u. The space group is No. 99.

a = 3.0390 Å, b = 3.0390 Å, c = 6.0330 Å
α = 90.00°, β = 90.00°, γ = 90.00°
Closest atoms and distances in Å follow each position.
Sites, in units of the cell vectors:
Ni 0.0000 0.0000 0.4729  5 Cr 2.51-2.59, 4 Tl 2.68
Cr 0.0000 0.0000 0.0561  4 Cr 2.40, 1 Ni 2.51
Cr 0.5000 0.5000 0.2340  4 Cr 2.40, 4 Ni 2.59
Tl 0.5000 0.5000 0.7370  4 Ni 2.68, 4 Cr 2.88



| no. | D(E_F) (states/eV per cell) |
| --- | --- |
| 1 | 1.38 |
| 2 | 6.19 |
| 3 | 2.46 |
| 4 | 3.22 |